(1)
{
  "formula": "RbScIr",
  "functional": "PBE-GGA",
  "state": "relaxed",
  "lattice": [[-3.920, -2.027, 1.948], [-2.416, 2.288, 3.492], [-4.367, 1.843, -0.897]],
  "species": ["Ir", "Sc", "Rb"],
  "frac_coords": [[0.000, 0.000, 0.000], [0.750, 0.750, 0.750], [0.250, 0.250, 0.250]],
  "polymorph_energy_mev_per_atom": 0,
  "space_group": "F-43m",
  "vol_a3_per_atom": 26.45
}

=====

(2)
{
  "formula": "SnSb2Au",
  "functional": "PBE-GGA",
  "state": "relaxed",
  "lattice": [[0.000, 3.680, 3.680], [3.680, 0.000, 3.680], [3.680, 3.680, 0.000]],
  "species": ["Sb", "Sb", "Au", "Sn"],
  "frac_coords": [[0.000, 0.000, 0.000], [0.750, 0.750, 0.750], [0.500, 0.500, 0.500], [0.250, 0.250, 0.250]],
  "space_group": "F-43m",
  "vol_a3_per_atom": 24.91
}

=====

Number 1: electronic total energy -4.79 eV per atom. Number 2: electronic total energy -3.72 eV per atom.